No. 1
# SmBe2CuPt5

An optimized crystal structure of SmBe2CuPt5 (PBE, Alexandria).

Geometry as extended XYZ:
```
9
Lattice="4.389 0.000 0.000 0.000 4.389 0.000 0.000 0.000 7.133" Properties=species:S:1:pos:R:3 pbc="T T T"
Pt 0.000 2.194 1.508
Pt 2.194 0.000 1.508
Cu 0.000 0.000 0.000
Pt 2.194 0.000 5.625
Sm 0.000 0.000 3.566
Be 2.194 2.194 5.995
Be 2.194 2.194 1.138
Pt 2.194 2.194 3.566
Pt 0.000 2.194 5.625
```

Summary:
**Crystal system**: tetragonal
**ΔH_f (0 K)**: -0.55 eV per atom
**SG**: P4/mmm



No. 2
# CaRe2Au

An optimized crystal structure of CaRe2Au (PBE, Alexandria).

Geometry as extended XYZ:
```
4
Lattice="-1.056 5.014 0.437 -2.650 -0.606 0.553 0.654 -0.298 5.009" Properties=species:S:1:pos:R:3 pbc="T T T"
Au -1.027 2.281 1.609
Re -0.766 -0.404 2.791
Re 0.423 -0.346 5.000
Ca -2.025 1.829 4.390
```

Summary:
**Crystal system**: monoclinic
**Polymorph energy (0 for the lowest one)**: 0.331 eV/atom
**ΔH_f (0 K)**: 0.49 eV per atom
**SG**: P2/m



No. 3
# Tb3Ni2Ge4

An optimized crystal structure of Tb3Ni2Ge4 (PBE, Alexandria).

Geometry as extended XYZ:
```
9
Lattice="4.183 0.000 0.000 -2.092 5.311 -0.065 0.000 -2.233 7.790" Properties=species:S:1:pos:R:3 pbc="T T T"
Ni 0.000 1.869 4.879
Ni 2.092 1.209 2.846
Tb 0.000 3.294 2.342
Ge 0.000 1.035 7.155
Ge 2.092 2.043 0.569
Ge 2.092 2.997 4.626
Tb 2.092 -0.216 5.383
Tb 0.000 0.000 0.000
Ge 0.000 0.081 3.099
```

Summary:
**Crystal system**: monoclinic
**Polymorph energy (0 for the lowest one)**: 0.000 eV/atom
**ΔH_f (0 K)**: -0.78 eV per atom
**SG**: C2/m



No. 4
# Y8AgRu2

An optimized crystal structure of Y8AgRu2 (PBE, Alexandria).

Geometry as extended XYZ:
```
11
Lattice="5.557 0.155 -0.868 -1.753 6.984 -2.849 0.097 -0.004 7.743" Properties=species:S:1:pos:R:3 pbc="T T T"
Y 3.428 4.475 2.353
Y 2.697 2.428 -0.912
Y 1.188 4.752 4.969
Ag 0.018 0.019 0.010
Ru 1.591 4.911 0.023
Ru 2.292 2.266 4.033
Y 5.202 1.853 4.346
Y 4.241 5.482 -1.156
Y 0.457 2.700 1.701
Y 0.702 6.590 2.183
Y 3.184 0.589 1.876
```

Summary:
**Crystal system**: monoclinic
**ΔH_f (0 K)**: -0.17 eV per atom
**SG**: Cm



No. 5
# HfZrTlTe2

An optimized crystal structure of HfZrTlTe2 (PBE, Alexandria).

Geometry as extended XYZ:
```
5
Lattice="-4.330 1.649 3.162 -2.730 -4.379 -1.454 2.136 -2.784 4.376" Properties=species:S:1:pos:R:3 pbc="T T T"
Hf -1.365 -2.189 -0.727
Zr 0.000 0.000 0.000
Tl -2.462 -2.757 3.043
Te -2.165 0.825 1.581
Te 1.068 -1.392 2.188
```

Summary:
**Crystal system**: tetragonal
**Uncorrected formation energy**: 1.54 eV per formula unit
**SG**: P4/mmm



No. 6
# CdC3I

An optimized crystal structure of CdC3I (PBE, Alexandria).

Geometry as extended XYZ:
```
5
Lattice="-3.249 -0.145 -3.035 2.647 -2.317 -2.722 -1.492 -3.794 1.779" Properties=species:S:1:pos:R:3 pbc="T T T"
Cd 0.000 0.000 0.000
I -1.047 -3.128 -1.989
C 1.324 -1.159 -1.361
C -1.624 -0.073 -1.518
C -0.746 -1.897 0.889
```

Summary:
**Crystal system**: cubic
**Polymorph energy (0 for the lowest one)**: 0.074 eV/atom
**Uncorrected formation energy**: 16.71 eV per formula unit
**SG**: Pm-3m



No. 7
# AgSn2MoPb

An optimized crystal structure of AgSn2MoPb (PBE, Alexandria).

Geometry as extended XYZ:
```
5
Lattice="5.205 0.000 0.000 0.000 5.301 0.000 0.000 0.000 5.205" Properties=species:S:1:pos:R:3 pbc="T T T"
Mo 0.000 0.000 0.000
Pb 2.602 2.651 2.602
Sn 0.000 0.000 2.602
Sn 2.602 0.000 0.000
Ag 0.000 2.651 0.000
```

Summary:
**Crystal system**: tetragonal
**ΔH_f (0 K)**: 0.61 eV per atom
**SG**: P4/mmm



No. 8
# Zr2TaCl

An optimized crystal structure of Zr2TaCl (PBE, Alexandria).

Geometry as extended XYZ:
```
4
Lattice="8.909 -0.041 -0.024 8.304 3.229 -0.024 8.304 1.538 2.839" Properties=species:S:1:pos:R:3 pbc="T T T"
Ta 19.137 3.544 2.093
Zr 12.747 2.360 1.394
Cl 6.379 1.181 0.698
Zr 0.011 0.002 0.001
```

Summary:
**Crystal system**: trigonal
**Polymorph energy (0 for the lowest one)**: 0.169 eV/atom
**Uncorrected formation energy**: -0.98 eV per formula unit
**SG**: R-3m



No. 9
# Pm3PrPu2Se6

An optimized crystal structure of Pm3PrPu2Se6 (PBE, Alexandria).

Geometry as extended XYZ:
```
12
Lattice="7.249 -0.004 0.000 -3.626 6.277 0.000 -1.208 -2.092 6.866" Properties=species:S:1:pos:R:3 pbc="T T T"
Pu 3.628 2.087 0.000
Se 2.390 4.139 1.698
Pr 0.000 0.000 0.000
Se -1.231 2.134 1.710
Se 2.464 0.000 1.710
Pm 4.860 -0.019 3.433
Pm 1.207 2.091 3.433
Se 0.025 0.043 5.168
Se -0.049 4.181 5.156
Pm -2.446 4.200 3.433
Pu -0.005 4.186 0.000
Se 3.646 2.047 5.156
```

Summary:
**Crystal system**: monoclinic
**Uncorrected formation energy**: -21.03 eV per formula unit
**SG**: C2/m



No. 10
# Pm8Pr4Tm

An optimized crystal structure of Pm8Pr4Tm (PBE, Alexandria).

Geometry as extended XYZ:
```
13
Lattice="-10.255 4.149 -2.327 1.504 -6.609 9.047 7.236 3.068 1.039" Properties=species:S:1:pos:R:3 pbc="T T T"
Pm 0.642 2.587 1.783
Pm -7.381 -0.185 4.740
Pm -2.861 1.086 1.269
Pr 0.752 -3.305 4.523
Pr -5.127 2.074 -1.163
Pm -8.158 3.229 0.067
Pm 1.346 -0.478 6.489
Pr 0.000 0.000 0.000
Tm 4.370 -1.770 5.043
Pm 5.866 0.792 3.018
Pr -4.375 -1.230 3.360
Pm -2.157 -1.980 5.975
Pm 6.643 -2.621 7.691
```

Summary:
**Crystal system**: trigonal
**ΔH_f (0 K)**: 0.48 eV per atom
**SG**: R-3m



No. 11
# HfSeO2F

An optimized crystal structure of HfSeO2F (PBE, Alexandria).

Geometry as extended XYZ:
```
5
Lattice="-2.502 -2.931 0.544 1.994 -1.118 3.150 -2.747 2.855 2.752" Properties=species:S:1:pos:R:3 pbc="T T T"
O -1.251 -1.466 0.272
Se 0.000 0.000 0.000
F -1.374 1.428 1.376
O 0.997 -0.559 1.575
Hf -1.628 -0.597 3.223
```

Summary:
**Crystal system**: tetragonal
**Uncorrected formation energy**: -1.12 eV per formula unit
**SG**: P4/mmm



No. 12
# ZrAgSb2

An optimized crystal structure of ZrAgSb2 (PBE, Alexandria).

Geometry as extended XYZ:
```
4
Lattice="4.990 0.000 0.000 0.000 3.254 0.014 0.000 1.632 5.677" Properties=species:S:1:pos:R:3 pbc="T T T"
Zr 0.000 3.051 2.664
Sb 0.000 4.674 5.198
Sb 2.495 1.414 1.816
Ag 2.495 3.078 4.548
```

Summary:
**Crystal system**: monoclinic
**Uncorrected formation energy**: -1.01 eV per formula unit
**SG**: Pm



Uncorrected energy for the records above, in order: -5.72 -7.05 -5.66 -6.82 -5.12 -2.69 -4.46 -7.94 -7.47 -4.25 -5.27 -5.16 eV/atom